Material: PuZr2ScPa
Method: DFT, GGA-PBE
State: optimized geometry

```
data_PuZr2ScPa
_chemical_formula_sum 'Pu4 Zr8 Sc4 Pa4'
_space_group_name_H-M_alt 'C m c m'
_space_group_IT_number 63
_space_group_name_Hall '-C 2c 2'
_cell_length_a 5.005
_cell_length_b 10.415
_cell_length_c 9.287
_cell_angle_alpha 90.00
_cell_angle_beta 90.00
_cell_angle_gamma 90.00
loop_
_atom_site_label
_atom_site_fract_x
_atom_site_fract_y
_atom_site_fract_z
Pu1 0.000 0.143 0.250
Zr1 0.000 0.304 0.576
Sc1 0.000 0.428 0.250
Pa1 0.000 0.000 0.000
```

Results
final energy = -9.3498 eV per atom
calculated volume = 24.206 Å³ per atom
energy relative to the elements = 0.1014 eV/atom

---

Material: PrEuPd
Method: DFT, GGA-PBE
State: optimized geometry

```
data_PrEuPd
_chemical_formula_sum 'Pr4 Eu4 Pd4'
_space_group_name_H-M_alt 'F -4 3 m'
_space_group_IT_number 216
_space_group_name_Hall 'F -4 2 3'
_cell_length_a 7.192
_cell_length_b 7.192
_cell_length_c 7.192
_cell_angle_alpha 90.00
_cell_angle_beta 90.00
_cell_angle_gamma 90.00
loop_
_atom_site_label
_atom_site_fract_x
_atom_site_fract_y
_atom_site_fract_z
Pr1 0.000 0.000 0.000
Eu1 0.000 0.000 0.500
Pd1 0.250 0.250 0.750
```

Results
final energy = -7.1508 eV per atom
calculated volume = 30.998 Å³ per atom
excess energy over the best structure of this formula in the dataset = 48 meV/atom
energy relative to the elements = -0.4019 eV/atom

---

Material: TmTiAg2
Method: DFT, GGA-PBE
State: optimized geometry

```
data_TmTiAg2
_chemical_formula_sum 'Tm4 Ti4 Ag8'
_space_group_name_H-M_alt 'F m -3 m'
_space_group_IT_number 225
_space_group_name_Hall '-F 4 2 3'
_cell_length_a 6.898
_cell_length_b 6.898
_cell_length_c 6.898
_cell_angle_alpha 90.00
_cell_angle_beta 90.00
_cell_angle_gamma 90.00
loop_
_atom_site_label
_atom_site_fract_x
_atom_site_fract_y
_atom_site_fract_z
Tm1 0.000 0.000 0.000
Ti1 0.000 0.000 0.500
Ag1 0.250 0.250 0.250
```

Results
final energy = -4.5530 eV per atom
calculated volume = 20.511 Å³ per atom
excess energy over the best structure of this formula in the dataset = 21 meV/atom
energy relative to the elements = -0.0358 eV/atom

---

Material: KLa2Si
Method: DFT, GGA-PBE
State: optimized geometry

```
data_KLa2Si
_chemical_formula_sum 'K4 La8 Si4'
_space_group_name_H-M_alt 'F -4 3 m'
_space_group_IT_number 216
_space_group_name_Hall 'F -4 2 3'
_cell_length_a 7.880
_cell_length_b 7.880
_cell_length_c 7.880
_cell_angle_alpha 90.00
_cell_angle_beta 90.00
_cell_angle_gamma 90.00
loop_
_atom_site_label
_atom_site_fract_x
_atom_site_fract_y
_atom_site_fract_z
K1 0.000 0.000 0.000
La1 0.000 0.000 0.500
La2 0.250 0.250 0.750
Si1 0.250 0.250 0.250
```

Results
raw formation energy = 1.6 eV/f.u.
final energy = -3.7005 eV per atom
calculated volume = 30.586 Å³ per atom

---

Spin magnetization, record by record: 5.94, 7.42, 1.59, 2.40 μB/f.u.